A plane-wave DFT calculation with PBE was carried out for an optimized crystal structure of TaTeAs2.

a = 3.701 Å, b = 3.700 Å, c = 7.815 Å
α = 76.90°, β = 90.00°, γ = 90.00°
Fractional positions:
1 As 0.000 0.960 0.197
2 As 0.500 0.460 0.198
3 Te 0.500 0.747 0.643
4 Ta 0.000 0.333 0.462

Calculated values
The calculation puts the volume at 26.1 A^3/atom. The space group is Pm, No. 6. The value obtained for the calculated density is 7.3 g/cm³. The value obtained for the energy relative to the elements, uncorrected is -138 meV per atom.